Density functional theory data (GGA-PBE) for a relaxed structure of NaSn3Pd. Values from VASP.

## Properties
Its energy relative to the elements is -0.2382 eV/atom. Its total energy is -19.71 eV per formula unit. As for the space group: Amm2, No. 38. The total moment is 0.0 Bohr magnetons per cell. The value obtained for the energy relative to the lowest polymorph listed for this composition is 21 meV per atom.

Quantum ESPRESSO input file:
```
&SYSTEM
  ibrav = 0, nat = 5, ntyp = 3
/
ATOMIC_SPECIES
Na 22.99 Na.upf
Sn 118.71 Sn.upf
Pd 106.42 Pd.upf
ATOMIC_POSITIONS crystal
Na 0.500 0.043 0.086
Sn 0.000 0.540 0.080
Sn 0.000 0.241 0.482
Sn 0.500 0.758 0.515
Pd 0.500 0.379 0.757
CELL_PARAMETERS angstrom
4.634 0.000 0.000
0.000 4.495 -1.856
0.000 -0.156 5.996
```